Density functional theory data (PBE) for a geometry-optimized MnPC structure.

```
MnPC
1.0
3.3615 -1.3933 0.0000
3.3615 1.3933 0.0000
-1.9414 0.0000 3.5159
Mn P C
1 1 1
Cartesian
0.0000 0.0000 0.0000 Mn
0.0222 0.0000 2.2404 P
2.8291 0.0000 3.4776 C
```

Output
DOS at the Fermi energy = 0.24 states/eV per cell
E_form = 328.5 meV/atom
energy = -7.61 eV/atom
energy relative to the lowest polymorph listed for this composition = 0.1769 eV per atom
space-group type = No. 8
calculated density = 4.937 Mg/m³

---

Density functional theory data (PBE) for a geometry-optimized MnPC structure.

```
MnPC
1.0
2.6705 0.0000 0.0000
0.0000 1.3331 4.3338
0.0000 -1.3331 4.3338
Mn P C
1 1 1
Cartesian
0.0000 0.0000 0.0000 Mn
1.3353 0.0000 6.8628 P
1.3353 0.0000 5.0948 C
```

Output
DOS at the Fermi energy = 1.40 states/eV per cell
E_form = 334.6 meV/atom
energy = -7.60 eV/atom
energy relative to the lowest polymorph listed for this composition = 0.1830 eV per atom
space-group type = No. 38
calculated density = 5.270 Mg/m³

---

Density functional theory data (PBE) for a geometry-optimized MnPC2 structure.

```
MnPC2
1.0
-2.2458 2.2458 4.0281
2.2458 -2.2458 4.0281
2.2458 2.2458 -4.0281
Mn P C
2 2 4
Cartesian
0.0000 0.0000 0.0000 Mn
0.0000 2.2458 2.0140 Mn
2.2458 0.0000 2.0140 P
0.0000 0.0000 4.0281 P
1.1229 -0.9639 3.0210 C
1.2819 1.1229 1.0070 C
1.1229 3.2097 -1.0070 C
0.9639 1.1229 5.0351 C
```

Output
DOS at the Fermi energy = 4.05 states/eV per cell
E_form = 432.0 meV/atom
energy = -7.82 eV/atom
space-group type = No. 122
calculated density = 4.493 Mg/m³

---

Density functional theory data (PBE) for a geometry-optimized MnPC structure.

```
MnPC
1.0
2.7300 0.0000 0.0000
0.0000 1.3969 4.1174
0.0000 -1.3969 4.1174
Mn P C
1 1 1
Cartesian
0.0000 0.0000 0.0000 Mn
0.0000 0.0000 6.0302 P
1.3650 0.0000 4.8002 C
```

Output
DOS at the Fermi energy = 0.40 states/eV per cell
E_form = 288.4 meV/atom
energy = -7.65 eV/atom
energy relative to the lowest polymorph listed for this composition = 0.1368 eV per atom
space-group type = No. 38
calculated density = 5.178 Mg/m³

---

Density functional theory data (PBE) for a geometry-optimized Mn2PC structure.

```
Mn2PC
1.0
0.0000 2.6538 2.6538
2.6538 0.0000 2.6538
2.6538 2.6538 0.0000
Mn P C
2 1 1
Cartesian
1.3269 1.3269 1.3269 Mn
3.9807 3.9807 3.9807 Mn
0.0000 0.0000 0.0000 P
2.6538 2.6538 2.6538 C
```

Output
DOS at the Fermi energy = 2.83 states/eV per cell
E_form = 422.4 meV/atom
energy = -7.82 eV/atom
space-group type = No. 225
calculated density = 6.791 Mg/m³

---

Density functional theory data (PBE) for a geometry-optimized Mn3PC structure.

```
Mn3PC
1.0
3.7481 0.0000 0.0000
0.0000 3.7481 0.0000
0.0000 0.0000 3.7481
Mn P C
3 1 1
Cartesian
0.0000 0.0000 1.8741 Mn
0.0000 1.8741 0.0000 Mn
1.8741 0.0000 0.0000 Mn
1.8741 1.8741 1.8741 P
0.0000 0.0000 0.0000 C
```

Output
DOS at the Fermi energy = 4.56 states/eV per cell
E_form = 54.0 meV/atom
energy = -8.37 eV/atom
space-group type = No. 221
calculated density = 6.553 Mg/m³

---

Density functional theory data (PBE) for a geometry-optimized MnPC structure.

```
MnPC
1.0
2.7012 0.0000 0.0000
0.0000 2.7385 0.0000
0.0000 0.0000 3.9309
Mn P C
1 1 1
Cartesian
0.0000 0.0000 0.0000 Mn
0.0000 1.3692 2.0989 P
1.3506 1.3692 0.8597 C
```

Output
DOS at the Fermi energy = 2.07 states/eV per cell
E_form = 336.5 meV/atom
energy = -7.60 eV/atom
energy relative to the lowest polymorph listed for this composition = 0.1849 eV per atom
space-group type = No. 25
calculated density = 5.592 Mg/m³

---

Density functional theory data (PBE) for a geometry-optimized Mn6PC structure.

```
Mn6PC
1.0
4.5425 -3.5842 0.0000
4.5425 3.5842 0.0000
-2.6523 0.0000 5.9294
Mn P C
12 2 2
Cartesian
2.4212 2.5429 2.1091 Mn
1.7105 2.2446 4.6821 Mn
4.7222 2.2446 1.2473 Mn
4.0115 2.5429 3.8203 Mn
1.8823 0.0000 3.1876 Mn
3.4835 0.0000 0.4757 Mn
2.9492 0.0000 5.4537 Mn
4.5504 0.0000 2.7417 Mn
2.4212 -2.5429 2.1091 Mn
1.7105 -2.2446 4.6821 Mn
4.7222 -2.2446 1.2473 Mn
4.0115 -2.5429 3.8203 Mn
2.2713 1.7921 0.0000 P
2.2713 -1.7921 0.0000 P
0.9451 1.7921 2.9647 C
0.9451 -1.7921 2.9647 C
```

Output
DOS at the Fermi energy = 15.77 states/eV per cell
E_form = 173.6 meV/atom
energy = -8.53 eV/atom
space-group type = No. 12
calculated density = 6.409 Mg/m³